Here is a relaxed structure of Ce2ErAu6 from Alexandria via LeMat-Bulk. Energies are from GGA-PBE.

abc: 5.3440 16.4968 5.3004
angles: 90.00 119.83 90.00
Space group C2/m (No. 12)
Symmetry-distinct sites (fractional):
Ce 0.0000 0.1656 0.0000 [4 per cell]
Er 0.0000 0.5000 0.5000 [2 per cell]
Au 0.1591 0.0000 0.8273 [4 per cell]
Au 0.1640 0.3386 0.3342 [8 per cell]

---

Here is a relaxed structure of CeEr2Au3 from Alexandria via LeMat-Bulk. Energies are from GGA-PBE.

abc: 3.5695 3.5695 11.0823
angles: 90.00 90.00 90.00
Space group P4/mmm (No. 123)
Symmetry-distinct sites (fractional):
Ce 0.0000 0.0000 0.0000 [1 per cell]
Er 0.0000 0.0000 0.3383 [2 per cell]
Au 0.5000 0.5000 0.1854 [2 per cell]
Au 0.5000 0.5000 0.5000 [1 per cell]

---

Here is a relaxed structure of CeErAu4 from Alexandria via LeMat-Bulk. Energies are from GGA-PBE.

abc: 3.7690 3.7690 9.2406
angles: 90.00 90.00 90.00
Space group P4/mmm (No. 123)
Symmetry-distinct sites (fractional):
Ce 0.0000 0.0000 0.0000 [1 per cell]
Er 0.5000 0.5000 0.5000 [1 per cell]
Au 0.0000 0.0000 0.3407 [2 per cell]
Au 0.5000 0.5000 0.1743 [2 per cell]

---

Here is a relaxed structure of Ce2ErAu from Alexandria via LeMat-Bulk. Energies are from GGA-PBE.

abc: 3.8117 3.8117 7.7421
angles: 90.00 90.00 90.00
Space group P4/mmm (No. 123)
Symmetry-distinct sites (fractional):
Ce 0.0000 0.0000 0.2086 [2 per cell]
Er 0.5000 0.5000 0.5000 [1 per cell]
Au 0.5000 0.5000 0.0000 [1 per cell]

Output
As for the excess energy over the best structure of this formula in the dataset: 68 meV per atom.

---

| no. | DFT total energy (eV/atom) |
| --- | --- |
| 1 | -4.68 |
| 2 | -4.94 |
| 3 | -4.69 |
| 4 | -5.13 |